Material: TbBe2Pt5
Method: DFT, PBE
State: relaxed

Values from the calculation:
- Spin magnetization: 0.0 μB/f.u.
- DFT formation energy: -0.8288 eV per atom
- Volume: 15.5 Å³ per atom

Cell lengths 3.8710, 6.6211, 9.6706 Å; angles 90.00, 90.00, 90.00 degrees
Fractional positions:
Tb1 0.0000 0.0000 0.0000
Tb2 0.5000 0.5000 0.5000
Be1 0.0000 0.5000 0.2324
Be2 0.0000 0.5000 0.7676
Be3 0.5000 0.0000 0.2676
Be4 0.5000 0.0000 0.7324
Pt1 0.0000 0.2082 0.3504
Pt2 0.0000 0.2082 0.6496
Pt3 0.0000 0.5000 0.0000
Pt4 0.0000 0.7918 0.3504
Pt5 0.0000 0.7918 0.6496
Pt6 0.5000 0.0000 0.5000
Pt7 0.5000 0.2918 0.1496
Pt8 0.5000 0.2918 0.8504
Pt9 0.5000 0.7082 0.1496
Pt10 0.5000 0.7082 0.8504